MgAgPt: relaxed, PBE-GGA.

Its uncorrected energy is -23.37 eV for the cell shown. Its volume is 16.86 Å³ per atom. The energy above the most stable polymorph in this dataset is 0.25 eV per formula unit. The magnetization comes out at 0.000 μB per cell.

It has space group I4mm (No. 107), with a = 3.094 Å, b = 3.094 Å, c = 10.573 Å, α = 90.00°, β = 90.00° and γ = 90.00°. Symmetry generates all atoms from Mg at (0.000, 0.000, 0.000), Ag at (0.000, 0.000, 0.678) and Pt at (0.000, 0.000, 0.355).

---

Mg2AgPt: relaxed, PBE-GGA.

Its uncorrected energy is -54.74 eV for the cell shown. Its volume is 17.38 Å³ per atom. The energy above the most stable polymorph in this dataset is 0.71 eV per formula unit. The magnetization comes out at 0.000 μB per cell.

It has space group F-43m (No. 216), with a = 6.527 Å, b = 6.527 Å, c = 6.527 Å, α = 90.00°, β = 90.00° and γ = 90.00°. Symmetry generates all atoms from Mg at (0.000, 0.000, 0.000), Mg at (0.250, 0.250, 0.250), Ag at (0.000, 0.000, 0.500) and Pt at (0.250, 0.250, 0.750).

---

MgAg2Pt: relaxed, PBE-GGA.

Its uncorrected energy is -54.51 eV for the cell shown. Its volume is 18.68 Å³ per atom. The magnetization comes out at 0.000 μB per cell.

It has space group I-42d (No. 122), with a = 3.877 Å, b = 3.877 Å, c = 19.878 Å, α = 90.00°, β = 90.00° and γ = 90.00°. Symmetry generates all atoms from Mg at (0.000, 0.000, 0.000), Ag at (0.245, 0.250, 0.625) and Pt at (0.000, 0.000, 0.500).

---

Which of these has the highest volume?
MgAg2Pt